w | Here is a relaxed structure of HfMgSi3 from Alexandria via LeMat-Bulk. Energies are from GGA-PBE.

Cell and atoms, written as POSCAR:
```
HfMgSi3
1.0
5.052 0.000 0.000
0.000 5.052 0.000
0.000 0.000 5.052
Hf Mg Si
1 1 3
Direct
0.000 0.000 0.000 Hf
0.500 0.500 0.500 Mg
0.000 0.000 0.500 Si
0.000 0.500 0.000 Si
0.500 0.000 0.000 Si
```

Output
The value obtained for the total magnetization is 0.000 μB per atom. The value obtained for the calculated volume is 129 Å³ per cell.

***

x | Here is a relaxed structure of HfMgSi3 from Alexandria via LeMat-Bulk. Energies are from GGA-PBE.

Cell and atoms, written as POSCAR:
```
HfMgSi3
1.0
4.718 0.000 0.000
0.000 4.718 0.000
0.000 0.000 4.718
Hf Mg Si
1 1 3
Direct
0.000 0.000 0.000 Hf
0.500 0.500 0.500 Mg
0.000 0.500 0.500 Si
0.500 0.000 0.500 Si
0.500 0.500 0.000 Si
```

Output
The value obtained for the total magnetization is 0.000 μB per atom. The value obtained for the calculated volume is 105 Å³ per cell.

***

Most favorable first, least favorable last: w, x

***

w | Here is a relaxed structure of Sm2HfMg from Alexandria via LeMat-Bulk. Energies are from GGA-PBE.

Cell and atoms, written as POSCAR:
```
Sm2HfMg
1.0
5.614 0.000 0.000
0.000 5.614 0.000
0.000 0.000 3.502
Sm Hf Mg
2 1 1
Direct
0.000 0.500 0.000 Sm
0.500 0.000 0.000 Sm
0.000 0.000 0.500 Hf
0.500 0.500 0.500 Mg
```

Output
The value obtained for the total magnetization is 0.000 μB per atom. The value obtained for the calculated volume is 110 Å³ per cell.

***

x | Here is a relaxed structure of Sm2HfMg from Alexandria via LeMat-Bulk. Energies are from GGA-PBE.

Cell and atoms, written as POSCAR:
```
Sm2HfMg
1.0
3.427 0.000 0.000
0.000 3.427 0.000
0.000 0.000 9.522
Sm Hf Mg
2 1 1
Direct
0.000 0.000 0.243 Sm
0.000 0.000 0.757 Sm
0.500 0.500 0.000 Hf
0.500 0.500 0.500 Mg
```

Output
The value obtained for the total magnetization is 0.000 μB per atom. The value obtained for the calculated volume is 112 Å³ per cell.

***

Most favorable first, least favorable last: x, w